Compound: TbSc12Cd3
Source: Alexandria
Functional: PBE
Structure: relaxed

```
16
Lattice="4.541 0.000 0.000 0.000 4.541 0.000 0.000 0.000 18.470" Properties=species:S:1:pos:R:3 pbc="T T T"
Tb 0.000 0.000 0.000
Sc 0.000 2.271 2.449
Sc 0.000 2.271 6.985
Sc 0.000 2.271 11.485
Sc 0.000 2.271 16.021
Sc 2.271 0.000 2.449
Sc 2.271 0.000 6.985
Sc 2.271 0.000 11.485
Sc 2.271 0.000 16.021
Sc 2.271 2.271 0.000
Sc 2.271 2.271 4.751
Sc 2.271 2.271 9.235
Sc 2.271 2.271 13.719
Cd 0.000 0.000 4.760
Cd 0.000 0.000 9.235
Cd 0.000 0.000 13.709
```

As for the formation enthalpy at 0 K: -63 meV per atom. The value obtained for the total energy is -84.365 eV per cell.